Material: AcPmNd6Y2
Method: DFT, PBE-GGA
State: relaxed

Formation energy   117.9 meV per atom
Uncorrected energy   -4.921 eV per atom

CIF file:
```
data_AcPmNd6Y2
_chemical_formula_sum 'Ac4 Pm4 Nd24 Y8'
_symmetry_space_group_name_H-M 'C 1 2/c 1'
_symmetry_Int_Tables_number 15
_symmetry_space_group_name_Hall '-C 2yc'
_cell_length_a 9.590
_cell_length_b 15.401
_cell_length_c 9.789
_cell_angle_alpha 90.00
_cell_angle_beta 95.45
_cell_angle_gamma 90.00
loop_
_atom_site_label
_atom_site_fract_x
_atom_site_fract_y
_atom_site_fract_z
Ac1 0.000 0.037 0.250
Pm1 0.000 0.409 0.750
Nd1 0.067 0.178 0.942
Nd2 0.093 0.387 0.117
Nd3 0.222 0.229 0.321
Y1 0.245 0.450 0.449
```